(1)
! AcLaH6Rh2 GGA-PBE relaxed; values from VASP
! Energy = -4.832 eV per atom
&SYSTEM
  ibrav = 0, nat = 10, ntyp = 4
/
ATOMIC_SPECIES
Ac 227.00 Ac.upf
La 138.91 La.upf
H 1.01 H.upf
Rh 102.91 Rh.upf
CELL_PARAMETERS angstrom
4.934 0.000 0.000
2.467 4.273 0.000
2.467 1.424 6.077
ATOMIC_POSITIONS angstrom
Ac 0.000 0.000 0.000
La 4.934 2.849 3.039
H 3.637 3.597 4.972
H 4.934 1.352 4.972
H 3.638 2.100 1.105
H 6.230 2.100 1.105
H 4.934 4.346 1.105
H 6.230 3.597 4.972
Rh 7.401 4.273 3.953
Rh 2.467 1.424 2.125

***

(2)
! LiSiCl GGA-PBE relaxed; values from VASP
! Formation energy from raw total energies = 0.29 eV/atom
! Energy = -2.775 eV per atom
&SYSTEM
  ibrav = 0, nat = 3, ntyp = 3
/
ATOMIC_SPECIES
Cl 35.45 Cl.upf
Li 6.94 Li.upf
Si 28.09 Si.upf
CELL_PARAMETERS angstrom
-3.517 -2.266 -1.552
-0.060 -1.397 -4.238
0.378 -4.350 -0.921
ATOMIC_POSITIONS angstrom
Cl -1.600 -4.006 -3.356
Li -0.800 -2.003 -1.678
Si 0.000 0.000 0.000

***

(3)
! Ce2HgBr GGA-PBE relaxed; values from VASP
! Formation energy from raw total energies = -0.62 eV/atom
! Energy = -4.081 eV per atom
&SYSTEM
  ibrav = 0, nat = 4, ntyp = 3
/
ATOMIC_SPECIES
Br 79.90 Br.upf
Hg 200.59 Hg.upf
Ce 140.12 Ce.upf
CELL_PARAMETERS angstrom
3.557 0.000 0.000
0.000 3.557 0.000
0.000 0.000 8.386
ATOMIC_POSITIONS angstrom
Br 1.778 1.778 4.193
Hg 1.778 1.778 0.000
Ce 0.000 0.000 6.267
Ce 0.000 0.000 2.119

***

(4)
! CsH6O3 GGA-PBE relaxed; values from VASP
! Energy = -4.438 eV per atom
&SYSTEM
  ibrav = 0, nat = 10, ntyp = 3
/
ATOMIC_SPECIES
Cs 132.91 Cs.upf
H 1.01 H.upf
O 16.00 O.upf
CELL_PARAMETERS angstrom
5.184 0.000 0.000
-1.728 7.006 0.000
-1.728 -3.503 6.067
ATOMIC_POSITIONS angstrom
Cs 0.936 0.000 0.000
H -0.085 -1.755 3.039
H -0.085 3.509 0.000
H 3.549 -1.696 2.937
H 3.549 3.391 0.000
H 0.092 1.807 3.131
H 1.643 1.748 3.028
O -0.905 4.046 0.000
O -0.905 -2.023 3.504
O 0.823 1.480 2.563

***

(5)
! Sm2TmThSe4 GGA-PBE relaxed; values from VASP
! Formation energy from raw total energies = -1.69 eV/atom
! Energy = -6.103 eV per atom
&SYSTEM
  ibrav = 0, nat = 8, ntyp = 4
/
ATOMIC_SPECIES
Sm 150.36 Sm.upf
Tm 168.93 Tm.upf
Th 232.04 Th.upf
Se 78.96 Se.upf
CELL_PARAMETERS angstrom
-1.799 0.643 -3.631
4.008 -5.318 -2.928
-6.076 -2.785 2.519
ATOMIC_POSITIONS angstrom
Sm -3.938 -1.071 -0.556
Sm -1.034 -4.052 -0.205
Tm 0.000 0.000 0.000
Th 1.104 -2.338 -3.279
Se -1.411 -1.614 -1.905
Se -2.457 -5.846 -2.135
Se -3.601 -3.373 1.188
Se 1.533 -4.730 -1.597

***

(6)
! TbCdP2O8 GGA-PBE relaxed; values from VASP
! Formation energy from raw total energies = -2.20 eV/atom
! Energy = -6.871 eV per atom
&SYSTEM
  ibrav = 0, nat = 12, ntyp = 4
/
ATOMIC_SPECIES
Tb 158.93 Tb.upf
Cd 112.41 Cd.upf
P 30.97 P.upf
O 16.00 O.upf
CELL_PARAMETERS angstrom
5.253 0.000 0.000
-2.627 4.549 0.000
0.000 0.000 7.054
ATOMIC_POSITIONS angstrom
Tb 0.000 0.000 0.000
Cd 0.000 0.000 3.527
P 2.627 1.516 1.374
P 0.000 3.033 5.680
O 0.000 3.033 0.170
O 1.348 0.779 1.843
O 3.904 0.778 1.843
O 2.627 1.516 6.884
O -1.278 3.771 5.211
O 1.278 3.770 5.211
O -0.001 1.557 5.211
O 2.627 2.992 1.843